# Y6CoBr10 PBEsol relaxed
# electronic total energy = -5.533 eV/atom
# crystal system = triclinic
data_Y6CoBr10
_space_group_name_H-M_alt 'P -1'
_space_group_IT_number 2
_cell_length_a 7.159
_cell_length_b 8.836
_cell_length_c 8.991
_cell_angle_alpha 107.97
_cell_angle_beta 97.10
_cell_angle_gamma 105.23
loop_
_space_group_symop_operation_xyz
'x,y,z'
'-x,-y,-z'
loop_
_atom_site_label
_atom_site_fract_x
_atom_site_fract_y
_atom_site_fract_z
Y1 0.032 0.212 0.412
Y2 0.124 0.546 0.252
Y3 0.364 0.636 0.678
Co1 0.000 0.500 0.500
Br1 0.087 0.874 0.323
Br2 0.213 0.238 0.147
Br3 0.259 0.587 0.962
Br4 0.354 0.961 0.775
Br5 0.451 0.316 0.588


# PrDy3 PBEsol relaxed
# crystal system = hexagonal
# ΔE_f = 0.024 eV per atom
# offset from the most stable computed form = 9 meV/atom
data_PrDy3
_space_group_name_H-M_alt 'P 63/m m c'
_space_group_IT_number 194
_space_group_name_Hall '-P 6c 2c'
_cell_length_a 7.1233
_cell_length_b 7.1233
_cell_length_c 5.6354
_cell_angle_alpha 90.00
_cell_angle_beta 90.00
_cell_angle_gamma 120.00
loop_
_atom_site_label
_atom_site_fract_x
_atom_site_fract_y
_atom_site_fract_z
Pr1 0.3333 0.6667 0.2500
Dy1 0.1659 0.3317 0.7500